Entry from Alexandria: an optimized crystal structure of Pr3Dy7Sc2 (PBE).

abc: 3.5938 5.5401 20.2922
angles: 90.00 95.09 90.00
Sites, in units of the cell vectors:
1 Pr 0.5000 0.5000 0.0000
2 Pr 0.8288 0.0000 0.6598
3 Pr 0.1712 0.0000 0.3402
4 Dy 0.2845 0.5000 0.5694
5 Dy 0.7155 0.5000 0.4306
6 Dy 0.4108 0.0000 0.8238
7 Dy 0.0000 0.0000 0.0000
8 Dy 0.5892 0.0000 0.1762
9 Dy 0.0705 0.5000 0.1390
10 Dy 0.9295 0.5000 0.8610
11 Sc 0.3609 0.5000 0.7249
12 Sc 0.6391 0.5000 0.2751

ΔH_f (0 K) = 0.237 eV/atom
Volume = 402 Å³ per cell
DOS at the Fermi energy = 19.86 states/eV/f.u.
Total magnetization = 0.0 μB per cell
Total DFT energy (no corrections) = -4.698 eV/atom